Entry 1:
Density functional theory data (PBE-GGA) for TlSb2Cl7 after structural relaxation.

Calculated values
- Size of the total moment: 0.00 μB per atom
- SG: No. 65
- E_tot: -3.184 eV per atom

```
TlSb2Cl7
1.0
-2.647 3.872 2.484
-6.017 -5.073 1.498
5.624 0.185 5.703
Cl Sb Tl
7 2 1
direct
0.500 0.321 0.049
0.500 0.951 0.679
0.500 0.500 0.500
0.500 0.049 0.321
0.500 0.679 0.951
0.000 0.284 0.716
0.000 0.716 0.284
0.500 0.294 0.706
0.500 0.706 0.294
0.000 0.000 0.000
```


Entry 2:
Density functional theory data (PBE-GGA) for Cs3U2PaSe6 after structural relaxation.

Calculated values
- Size of the total moment: 0.66 μB per atom
- SG: No. 12
- E_tot: -5.864 eV per atom

```
Cs3U2PaSe6
1.0
-0.508 -5.755 -4.511
6.552 2.940 1.467
-1.133 -4.337 7.646
Se Cs U Pa
6 3 2 1
direct
0.733 0.733 0.190
0.267 0.267 0.810
0.937 0.606 0.810
0.063 0.394 0.190
0.394 0.063 0.190
0.606 0.937 0.810
0.500 0.500 0.500
0.833 0.167 0.500
0.167 0.833 0.500
0.333 0.667 0.000
0.667 0.333 0.000
0.000 0.000 0.000
```


Entry 3:
Density functional theory data (PBE-GGA) for AcPuIrCl after structural relaxation.

Calculated values
- Size of the total moment: 1.33 μB per atom
- SG: No. 160
- E_tot: -8.275 eV per atom

```
AcPuIrCl
1.0
-2.614 -1.798 2.655
4.076 -0.574 0.402
0.815 7.710 2.797
Ac Cl Ir Pu
1 1 1 1
direct
0.498 0.147 0.660
0.963 0.380 0.357
0.316 0.556 0.888
0.101 0.948 0.065
```


Entry 4:
Density functional theory data (PBE-GGA) for SrAl2SbSe after structural relaxation.

Calculated values
- Size of the total moment: 0.01 μB per atom
- SG: No. 123
- E_tot: -2.493 eV per atom

```
SrAl2SbSe
1.0
-5.154 2.733 -1.149
-1.454 -0.527 5.269
2.512 5.250 1.218
Sb Sr Se Al
1 1 1 2
direct
0.500 0.500 0.500
0.000 0.000 0.000
0.000 0.500 0.000
0.000 0.000 0.500
0.500 0.000 0.000
```